[1]
# LiInPb2 (PBE, relaxed)
data_LiInPb2
_symmetry_space_group_name_H-M 'P 1'
_symmetry_Int_Tables_number 1
_cell_length_a 4.9393
_cell_length_b 3.5326
_cell_length_c 6.4398
_cell_angle_alpha 73.40
_cell_angle_beta 90.00
_cell_angle_gamma 90.00
loop_
_symmetry_equiv_pos_as_xyz
'x,y,z'
loop_
_atom_site_label
_atom_site_fract_x
_atom_site_fract_y
_atom_site_fract_z
In1 0.0000 0.6762 0.4978
Pb1 0.5000 0.2849 0.2769
Pb2 0.0000 0.9668 0.9589
Li1 0.5000 0.5720 0.7664
# - Final energy: -3.1086 eV/atom
# - Energy relative to the elements: -91.4 meV per atom

=====

[2]
# Li3In2Pb4 (PBE, relaxed)
data_Li3In2Pb4
_symmetry_space_group_name_H-M 'P 1'
_symmetry_Int_Tables_number 1
_cell_length_a 7.6612
_cell_length_b 7.6612
_cell_length_c 8.2234
_cell_angle_alpha 98.35
_cell_angle_beta 98.35
_cell_angle_gamma 95.01
loop_
_symmetry_equiv_pos_as_xyz
'x,y,z'
loop_
_atom_site_label
_atom_site_fract_x
_atom_site_fract_y
_atom_site_fract_z
Li1 0.3839 0.6161 0.2500
Li2 0.0460 0.3094 0.2540
Li3 0.6906 0.9540 0.2460
Li4 0.3094 0.0460 0.7540
Li5 0.9540 0.6906 0.7460
Li6 0.6161 0.3839 0.7500
In1 0.2650 0.5162 0.5833
In2 0.5162 0.2650 0.0833
In3 0.7350 0.4838 0.4167
In4 0.4838 0.7350 0.9167
Pb1 0.1644 0.4018 0.9212
Pb2 0.1870 0.9257 0.0750
Pb3 0.4018 0.1644 0.4212
Pb4 0.0743 0.8130 0.4250
Pb5 0.8130 0.0743 0.9250
Pb6 0.9257 0.1870 0.5750
Pb7 0.8356 0.5982 0.0788
Pb8 0.5982 0.8356 0.5788
# - Final energy: -3.0150 eV/atom
# - Energy relative to the elements: -120.4 meV per atom

=====

[3]
# LiIn12Pb16 (PBE, relaxed)
data_LiIn12Pb16
_symmetry_space_group_name_H-M 'P 1'
_symmetry_Int_Tables_number 1
_cell_length_a 10.4018
_cell_length_b 10.4018
_cell_length_c 10.2903
_cell_angle_alpha 109.32
_cell_angle_beta 109.32
_cell_angle_gamma 110.09
loop_
_symmetry_equiv_pos_as_xyz
'x,y,z'
loop_
_atom_site_label
_atom_site_fract_x
_atom_site_fract_y
_atom_site_fract_z
In1 0.3697 0.1873 0.9963
In2 0.0051 0.1917 0.3754
In3 0.1917 0.0051 0.3754
In4 0.9970 0.3709 0.1883
In5 0.6275 0.6275 0.8161
In6 0.3709 0.9970 0.1883
In7 0.1787 0.8102 0.8127
In8 0.8042 0.6209 0.6148
In9 0.8113 0.8113 0.1899
In10 0.6209 0.8042 0.6148
In11 0.8102 0.1787 0.8127
In12 0.1873 0.3697 0.9963
Pb1 0.7087 0.3083 0.3040
Pb2 0.0133 0.0133 0.0177
Pb3 0.6912 0.0008 0.4070
Pb4 0.5873 0.2757 0.5944
Pb5 0.6686 0.9912 0.9944
Pb6 0.9935 0.4084 0.6895
Pb7 0.9885 0.9885 0.6659
Pb8 0.3083 0.7087 0.3040
Pb9 0.0008 0.6912 0.4070
Pb10 0.3701 0.3701 0.3385
Pb11 0.6900 0.4146 0.0057
Pb12 0.9912 0.6686 0.9944
Pb13 0.2757 0.5873 0.5944
Pb14 0.3084 0.3084 0.7221
Pb15 0.4084 0.9935 0.6895
Pb16 0.4146 0.6900 0.0057
Li1 0.6070 0.6070 0.2847
# - Final energy: -3.2310 eV/atom
# - Energy relative to the elements: 14.1 meV per atom

=====

[4]
# LiIn2Pb2 (PBE, relaxed)
data_LiIn2Pb2
_symmetry_space_group_name_H-M 'P 1'
_symmetry_Int_Tables_number 1
_cell_length_a 5.0262
_cell_length_b 7.2803
_cell_length_c 7.3450
_cell_angle_alpha 90.02
_cell_angle_beta 90.00
_cell_angle_gamma 90.00
loop_
_symmetry_equiv_pos_as_xyz
'x,y,z'
loop_
_atom_site_label
_atom_site_fract_x
_atom_site_fract_y
_atom_site_fract_z
In1 0.7457 0.2651 0.7221
In2 0.2457 0.7349 0.2779
In3 0.7457 0.0689 0.1406
In4 0.2456 0.9311 0.8594
Li1 0.2457 0.5492 0.6565
Li2 0.7457 0.4508 0.3435
Pb1 0.7457 0.6530 0.9760
Pb2 0.7457 0.8367 0.5581
Pb3 0.2457 0.3470 0.0240
Pb4 0.2457 0.1633 0.4419
# - Final energy: -3.0280 eV/atom
# - Energy relative to the elements: -66.6 meV per atom
# - Energy above the most stable polymorph in this dataset: 0.000 eV per atom

=====

[5]
# LiIn7Pb4 (PBE, relaxed)
data_LiIn7Pb4
_symmetry_space_group_name_H-M 'P 1'
_symmetry_Int_Tables_number 1
_cell_length_a 6.7059
_cell_length_b 7.3884
_cell_length_c 10.2848
_cell_angle_alpha 82.49
_cell_angle_beta 106.14
_cell_angle_gamma 49.23
loop_
_symmetry_equiv_pos_as_xyz
'x,y,z'
loop_
_atom_site_label
_atom_site_fract_x
_atom_site_fract_y
_atom_site_fract_z
In1 0.4334 0.6606 0.8466
In2 0.2764 0.9633 0.5162
In3 0.7236 0.0367 0.4838
In4 0.5000 0.0000 0.0000
In5 0.8665 0.3056 0.6864
In6 0.1335 0.6944 0.3136
In7 0.5666 0.3394 0.1534
Pb1 0.3188 0.3674 0.6607
Pb2 0.6812 0.6326 0.3393
Pb3 0.9038 0.6946 0.8325
Pb4 0.0962 0.3054 0.1675
Li1 0.0000 0.0000 0.0000
# - Final energy: -3.0134 eV/atom
# - Energy relative to the elements: -20.4 meV per atom

=====

[6]
# Li2InPb3 (PBE, relaxed)
data_Li2InPb3
_symmetry_space_group_name_H-M 'P 1'
_symmetry_Int_Tables_number 1
_cell_length_a 3.6378
_cell_length_b 3.6378
_cell_length_c 11.4139
_cell_angle_alpha 90.00
_cell_angle_beta 90.00
_cell_angle_gamma 90.00
loop_
_symmetry_equiv_pos_as_xyz
'x,y,z'
loop_
_atom_site_label
_atom_site_fract_x
_atom_site_fract_y
_atom_site_fract_z
Pb1 0.0000 0.0000 0.0000
Pb2 0.0000 0.0000 0.3070
Pb3 0.0000 0.0000 0.6930
Li1 0.5000 0.5000 0.1431
Li2 0.5000 0.5000 0.8569
In1 0.5000 0.5000 0.5000
# - Final energy: -3.0978 eV/atom
# - Energy relative to the elements: -149.3 meV per atom

=====

[7]
# Li8In2Pb (PBE, relaxed)
data_Li8In2Pb
_symmetry_space_group_name_H-M 'P 1'
_symmetry_Int_Tables_number 1
_cell_length_a 4.8578
_cell_length_b 8.0521
_cell_length_c 8.0521
_cell_angle_alpha 123.56
_cell_angle_beta 106.64
_cell_angle_gamma 106.64
loop_
_symmetry_equiv_pos_as_xyz
'x,y,z'
loop_
_atom_site_label
_atom_site_fract_x
_atom_site_fract_y
_atom_site_fract_z
Li1 0.2874 0.5587 0.5587
Li2 0.5000 0.2050 0.7950
Li3 0.2100 0.0971 0.3545
Li4 0.5000 0.7950 0.2050
Li5 0.7900 0.6455 0.9029
Li6 0.7126 0.4413 0.4413
Li7 0.7900 0.9029 0.6455
Li8 0.2100 0.3545 0.0971
Pb1 0.5000 0.0000 0.0000
In1 0.0000 0.3154 0.6846
In2 0.0000 0.6846 0.3154
# - Final energy: -2.4159 eV/atom
# - Energy relative to the elements: -189.0 meV per atom
# - Energy above the most stable polymorph in this dataset: 0.042 eV per atom

=====

[8]
# LiInPb2 (PBE, relaxed)
data_LiInPb2
_symmetry_space_group_name_H-M 'P 1'
_symmetry_Int_Tables_number 1
_cell_length_a 5.5983
_cell_length_b 5.5983
_cell_length_c 3.5395
_cell_angle_alpha 90.00
_cell_angle_beta 90.00
_cell_angle_gamma 103.69
loop_
_symmetry_equiv_pos_as_xyz
'x,y,z'
loop_
_atom_site_label
_atom_site_fract_x
_atom_site_fract_y
_atom_site_fract_z
Pb1 0.5000 0.5000 0.0000
Pb2 0.0000 0.0000 0.0000
In1 0.5000 0.0000 0.5000
Li1 0.0000 0.5000 0.5000
# - Final energy: -3.1203 eV/atom
# - Energy relative to the elements: -103.1 meV per atom

=====

[9]
# LiInPb2 (PBE, relaxed)
data_LiInPb2
_symmetry_space_group_name_H-M 'P 1'
_symmetry_Int_Tables_number 1
_cell_length_a 3.4246
_cell_length_b 3.4246
_cell_length_c 9.0058
_cell_angle_alpha 90.00
_cell_angle_beta 90.00
_cell_angle_gamma 90.31
loop_
_symmetry_equiv_pos_as_xyz
'x,y,z'
loop_
_atom_site_label
_atom_site_fract_x
_atom_site_fract_y
_atom_site_fract_z
In1 0.5000 0.5000 0.2500
Pb1 0.0000 0.0000 0.9650
Pb2 0.0000 0.0000 0.5350
Li1 0.5000 0.5000 0.7500
# - Final energy: -3.1146 eV/atom
# - Energy relative to the elements: -97.3 meV per atom

=====

[10]
# LiIn2Pb (PBE, relaxed)
data_LiIn2Pb
_symmetry_space_group_name_H-M 'P 1'
_symmetry_Int_Tables_number 1
_cell_length_a 4.9350
_cell_length_b 4.5146
_cell_length_c 4.5146
_cell_angle_alpha 90.00
_cell_angle_beta 90.00
_cell_angle_gamma 90.00
loop_
_symmetry_equiv_pos_as_xyz
'x,y,z'
loop_
_atom_site_label
_atom_site_fract_x
_atom_site_fract_y
_atom_site_fract_z
In1 0.0000 0.0000 0.5000
In2 0.0000 0.5000 0.0000
Li1 0.5000 0.0000 0.0000
Pb1 0.5000 0.5000 0.5000
# - Final energy: -2.8925 eV/atom
# - Energy relative to the elements: -117.8 meV per atom

=====

[11]
# LiIn2Pb (PBE, relaxed)
data_LiIn2Pb
_symmetry_space_group_name_H-M 'P 1'
_symmetry_Int_Tables_number 1
_cell_length_a 5.1577
_cell_length_b 3.5720
_cell_length_c 5.6071
_cell_angle_alpha 86.30
_cell_angle_beta 90.00
_cell_angle_gamma 90.00
loop_
_symmetry_equiv_pos_as_xyz
'x,y,z'
loop_
_atom_site_label
_atom_site_fract_x
_atom_site_fract_y
_atom_site_fract_z
Pb1 0.5000 0.8584 0.6896
In1 0.0000 0.8993 0.0639
In2 0.5000 0.3755 0.2021
Li1 0.0000 0.3668 0.5444
# - Final energy: -2.8713 eV/atom
# - Energy relative to the elements: -96.5 meV per atom

=====

[12]
# LiIn3Pb2 (PBE, relaxed)
data_LiIn3Pb2
_symmetry_space_group_name_H-M 'P 1'
_symmetry_Int_Tables_number 1
_cell_length_a 3.5283
_cell_length_b 4.9366
_cell_length_c 9.4265
_cell_angle_alpha 90.00
_cell_angle_beta 90.00
_cell_angle_gamma 90.00
loop_
_symmetry_equiv_pos_as_xyz
'x,y,z'
loop_
_atom_site_label
_atom_site_fract_x
_atom_site_fract_y
_atom_site_fract_z
In1 0.5000 0.5000 0.6485
In2 0.5000 0.0000 0.1764
In3 0.5000 0.0000 0.8394
Pb1 0.0000 0.0000 0.4783
Pb2 0.0000 0.5000 0.0215
Li1 0.5000 0.5000 0.3358
# - Final energy: -2.9512 eV/atom
# - Energy relative to the elements: -26.9 meV per atom
# - Energy above the most stable polymorph in this dataset: 0.031 eV per atom

=====

final energy of number 7 (Li8In2Pb)?
-2.4159 eV/atom